[1]
# PBE PmDy2Th4, optimized geometry
data_PmDy2Th4
_chemical_formula_sum 'Pm2 Dy4 Th8'
_space_group_name_H-M_alt 'P 42/m n m'
_space_group_IT_number 136
_space_group_name_Hall '-P 4n 2n'
_cell_length_a 9.3438
_cell_length_b 9.3438
_cell_length_c 5.5461
_cell_angle_alpha 90.00
_cell_angle_beta 90.00
_cell_angle_gamma 90.00
loop_
_atom_site_label
_atom_site_type_symbol
_atom_site_fract_x
_atom_site_fract_y
_atom_site_fract_z
Pm1 Pm 0.0000 0.0000 0.0000
Dy1 Dy 0.1845 0.1845 0.5000
Th1 Th 0.1211 0.6240 0.5000
# Energy of formation from the pure elements, meV per atom: 301.1
# E_tot, eV for the cell shown: -83.1
# Volume, A^3/atom: 34.59
# Crystal system: tetragonal


[2]
# PBE CuHgF3, optimized geometry
data_CuHgF3
_chemical_formula_sum 'Cu4 Hg4 F12'
_space_group_name_H-M_alt 'P -1'
_space_group_IT_number 2
_space_group_name_Hall '-P 1'
_cell_length_a 6.2834
_cell_length_b 6.6394
_cell_length_c 8.3572
_cell_angle_alpha 97.62
_cell_angle_beta 102.35
_cell_angle_gamma 92.01
loop_
_atom_site_label
_atom_site_type_symbol
_atom_site_fract_x
_atom_site_fract_y
_atom_site_fract_z
Cu1 Cu 0.0003 0.2503 0.2499
Cu2 Cu 0.5003 0.2502 0.2499
Hg1 Hg 0.1849 0.2786 0.7090
Hg2 Hg 0.1854 0.7791 0.2094
F1 F 0.2062 0.2114 0.1099
F2 F 0.2056 0.7109 0.6100
F3 F 0.2365 0.2262 0.4269
F4 F 0.2361 0.7259 0.9270
F5 F 0.4851 0.0397 0.7595
F6 F 0.4856 0.5401 0.2594
# E_tot, eV for the cell shown: -67.4
# Formation energy (no corrections), eV per atom: -1.3699
# Volume, A^3/atom: 16.84
# Crystal system: triclinic


[3]
# PBE Tm3P2S, optimized geometry
data_Tm3P2S
_chemical_formula_sum 'Tm6 P4 S2'
_space_group_name_H-M_alt 'I m m m'
_space_group_IT_number 71
_space_group_name_Hall '-I 2 2'
_cell_length_a 3.9192
_cell_length_b 5.5404
_cell_length_c 11.7271
_cell_angle_alpha 90.00
_cell_angle_beta 90.00
_cell_angle_gamma 90.00
loop_
_atom_site_label
_atom_site_type_symbol
_atom_site_fract_x
_atom_site_fract_y
_atom_site_fract_z
Tm1 Tm 0.0000 0.0000 0.0000
Tm2 Tm 0.0000 0.0000 0.3293
P1 P 0.0000 0.5000 0.3344
S1 S 0.0000 0.5000 0.0000
# E_tot, eV for the cell shown: -78.2
# Formation energy (no corrections), eV per atom: -1.7916
# Volume, A^3/atom: 21.22
# Crystal system: orthorhombic


[4]
# PBE Tb3PmNd12, optimized geometry
data_Tb3PmNd12
_chemical_formula_sum 'Tb3 Pm1 Nd12'
_space_group_name_H-M_alt 'P 4/m m m'
_space_group_IT_number 123
_space_group_name_Hall '-P 4 2'
_cell_length_a 5.1721
_cell_length_b 5.1721
_cell_length_c 20.6527
_cell_angle_alpha 90.00
_cell_angle_beta 90.00
_cell_angle_gamma 90.00
loop_
_atom_site_label
_atom_site_type_symbol
_atom_site_fract_x
_atom_site_fract_y
_atom_site_fract_z
Tb1 Tb 0.0000 0.0000 0.0000
Tb2 Tb 0.0000 0.0000 0.2494
Pm1 Pm 0.0000 0.0000 0.5000
Nd1 Nd 0.0000 0.5000 0.1247
Nd2 Nd 0.0000 0.5000 0.3740
Nd3 Nd 0.5000 0.5000 0.0000
Nd4 Nd 0.5000 0.5000 0.2491
Nd5 Nd 0.5000 0.5000 0.5000
# Energy of formation from the pure elements, meV per atom: 12.9
# E_tot, eV for the cell shown: -75.6
# Volume, A^3/atom: 34.53
# Crystal system: tetragonal


[5]
# PBE ErAl2Pd, optimized geometry
data_ErAl2Pd
_chemical_formula_sum 'Er1 Al2 Pd1'
_space_group_name_H-M_alt 'P 4/m m m'
_space_group_IT_number 123
_space_group_name_Hall '-P 4 2'
_cell_length_a 3.1764
_cell_length_b 3.1764
_cell_length_c 7.2628
_cell_angle_alpha 90.00
_cell_angle_beta 90.00
_cell_angle_gamma 90.00
loop_
_atom_site_label
_atom_site_type_symbol
_atom_site_fract_x
_atom_site_fract_y
_atom_site_fract_z
Er1 Er 0.0000 0.0000 0.0000
Al1 Al 0.5000 0.5000 0.3007
Pd1 Pd 0.0000 0.0000 0.5000
# Energy of formation from the pure elements, meV per atom: -625.0
# E_tot, eV for the cell shown: -19.7
# Volume, A^3/atom: 18.32
# Crystal system: tetragonal


[6]
# PBE Tc2RuRh, optimized geometry
data_Tc2RuRh
_chemical_formula_sum 'Tc2 Ru1 Rh1'
_space_group_name_H-M_alt 'P 4/m m m'
_space_group_IT_number 123
_space_group_name_Hall '-P 4 2'
_cell_length_a 2.7111
_cell_length_b 2.7111
_cell_length_c 7.7556
_cell_angle_alpha 90.00
_cell_angle_beta 90.00
_cell_angle_gamma 90.00
loop_
_atom_site_label
_atom_site_type_symbol
_atom_site_fract_x
_atom_site_fract_y
_atom_site_fract_z
Tc1 Tc 0.0000 0.0000 0.2470
Ru1 Ru 0.5000 0.5000 0.0000
Rh1 Rh 0.5000 0.5000 0.5000
# Energy of formation from the pure elements, meV per atom: -35.2
# E_tot, eV for the cell shown: -37.5
# Volume, A^3/atom: 14.25
# Crystal system: tetragonal


[7]
# PBE La2Pr3NdAs6, optimized geometry
data_La2Pr3NdAs6
_chemical_formula_sum 'La4 Pr6 Nd2 As12'
_space_group_name_H-M_alt 'C 1 2/m 1'
_space_group_IT_number 12
_space_group_name_Hall '-C 2y'
_cell_length_a 18.8488
_cell_length_b 4.3273
_cell_length_c 8.6508
_cell_angle_alpha 90.00
_cell_angle_beta 103.28
_cell_angle_gamma 90.00
loop_
_atom_site_label
_atom_site_type_symbol
_atom_site_fract_x
_atom_site_fract_y
_atom_site_fract_z
La1 La 0.1661 0.0000 0.3321
Pr1 Pr 0.0000 0.5000 0.5000
Pr2 Pr 0.1666 0.0000 0.8336
Nd1 Nd 0.0000 0.5000 0.0000
As1 As 0.0006 0.0000 0.7519
As2 As 0.1660 0.5000 0.0813
As3 As 0.1662 0.5000 0.5843
# Energy of formation from the pure elements, meV per atom: -1526.3
# E_tot, eV for the cell shown: -150.3
# Volume, A^3/atom: 28.61
# Crystal system: monoclinic


[8]
# PBE BeIr2Pb, optimized geometry
data_BeIr2Pb
_chemical_formula_sum 'Be4 Ir8 Pb4'
_space_group_name_H-M_alt 'F -4 3 m'
_space_group_IT_number 216
_space_group_name_Hall 'F -4 2 3'
_cell_length_a 6.3521
_cell_length_b 6.3521
_cell_length_c 6.3521
_cell_angle_alpha 90.00
_cell_angle_beta 90.00
_cell_angle_gamma 90.00
loop_
_atom_site_label
_atom_site_type_symbol
_atom_site_fract_x
_atom_site_fract_y
_atom_site_fract_z
Be1 Be 0.0000 0.0000 0.0000
Ir1 Ir 0.0000 0.0000 0.5000
Ir2 Ir 0.2500 0.2500 0.7500
Pb1 Pb 0.2500 0.2500 0.2500
# Energy of formation from the pure elements, meV per atom: 594.6
# E_tot, eV for the cell shown: -91.1
# Volume, A^3/atom: 16.02
# Crystal system: cubic


[9]
# PBE Tb3GaRu2, optimized geometry
data_Tb3GaRu2
_chemical_formula_sum 'Tb3 Ga1 Ru2'
_space_group_name_H-M_alt 'P 4/m m m'
_space_group_IT_number 123
_space_group_name_Hall '-P 4 2'
_cell_length_a 3.4739
_cell_length_b 3.4739
_cell_length_c 10.4859
_cell_angle_alpha 90.00
_cell_angle_beta 90.00
_cell_angle_gamma 90.00
loop_
_atom_site_label
_atom_site_type_symbol
_atom_site_fract_x
_atom_site_fract_y
_atom_site_fract_z
Tb1 Tb 0.0000 0.0000 0.0000
Tb2 Tb 0.0000 0.0000 0.3190
Ga1 Ga 0.5000 0.5000 0.5000
Ru1 Ru 0.5000 0.5000 0.1657
# Energy of formation from the pure elements, meV per atom: -432.1
# E_tot, eV for the cell shown: -38.1
# Volume, A^3/atom: 21.09
# Crystal system: tetragonal


[10]
# PBE TlHgPbCl, optimized geometry
data_TlHgPbCl
_chemical_formula_sum 'Tl4 Hg4 Pb4 Cl4'
_space_group_name_H-M_alt 'F -4 3 m'
_space_group_IT_number 216
_space_group_name_Hall 'F -4 2 3'
_cell_length_a 7.6584
_cell_length_b 7.6584
_cell_length_c 7.6584
_cell_angle_alpha 90.00
_cell_angle_beta 90.00
_cell_angle_gamma 90.00
loop_
_atom_site_label
_atom_site_type_symbol
_atom_site_fract_x
_atom_site_fract_y
_atom_site_fract_z
Tl1 Tl 0.0000 0.0000 0.0000
Hg1 Hg 0.2500 0.2500 0.2500
Pb1 Pb 0.0000 0.0000 0.5000
Cl1 Cl 0.2500 0.2500 0.7500
# E_tot, eV for the cell shown: -36.1
# Formation energy (no corrections), eV per atom: -0.2012
# Volume, A^3/atom: 28.07
# Crystal system: cubic


[11]
# PBE TaZnPd2Au, optimized geometry
data_TaZnPd2Au
_chemical_formula_sum 'Ta1 Zn1 Pd2 Au1'
_space_group_name_H-M_alt 'P 4/m m m'
_space_group_IT_number 123
_space_group_name_Hall '-P 4 2'
_cell_length_a 4.9229
_cell_length_b 4.9229
_cell_length_c 4.5294
_cell_angle_alpha 90.00
_cell_angle_beta 90.00
_cell_angle_gamma 90.00
loop_
_atom_site_label
_atom_site_type_symbol
_atom_site_fract_x
_atom_site_fract_y
_atom_site_fract_z
Ta1 Ta 0.0000 0.0000 0.0000
Zn1 Zn 0.5000 0.5000 0.0000
Pd1 Pd 0.0000 0.5000 0.5000
Au1 Au 0.5000 0.5000 0.5000
# Energy of formation from the pure elements, meV per atom: 1267.8
# E_tot, eV for the cell shown: -20.5
# Volume, A^3/atom: 21.95
# Crystal system: tetragonal


[12]
# PBE TbPr7Tl2, optimized geometry
data_TbPr7Tl2
_chemical_formula_sum 'Tb2 Pr14 Tl4'
_space_group_name_H-M_alt 'C m m m'
_space_group_IT_number 65
_space_group_name_Hall '-C 2 2'
_cell_length_a 9.4632
_cell_length_b 16.2707
_cell_length_c 5.4284
_cell_angle_alpha 90.00
_cell_angle_beta 90.00
_cell_angle_gamma 90.00
loop_
_atom_site_label
_atom_site_type_symbol
_atom_site_fract_x
_atom_site_fract_y
_atom_site_fract_z
Tb1 Tb 0.0000 0.0000 0.0000
Pr1 Pr 0.0000 0.2227 0.0000
Pr2 Pr 0.0000 0.5000 0.5000
Pr3 Pr 0.1818 0.1191 0.5000
Tl1 Tl 0.0000 0.3066 0.5000
# Energy of formation from the pure elements, meV per atom: 321.6
# E_tot, eV for the cell shown: -79.2
# Volume, A^3/atom: 41.79
# Crystal system: orthorhombic


[13]
# PBE YZn2Se, optimized geometry
data_YZn2Se
_chemical_formula_sum 'Y1 Zn2 Se1'
_space_group_name_H-M_alt 'P 4 m m'
_space_group_IT_number 99
_space_group_name_Hall 'P 4 -2'
_cell_length_a 3.7204
_cell_length_b 3.7204
_cell_length_c 6.1230
_cell_angle_alpha 90.00
_cell_angle_beta 90.00
_cell_angle_gamma 90.00
loop_
_atom_site_label
_atom_site_type_symbol
_atom_site_fract_x
_atom_site_fract_y
_atom_site_fract_z
Y1 Y 0.0000 0.0000 0.0000
Zn1 Zn 0.0000 0.0000 0.4780
Zn2 Zn 0.5000 0.5000 0.3266
Se1 Se 0.5000 0.5000 0.8046
# E_tot, eV for the cell shown: -14.9
# Formation energy (no corrections), eV per atom: -0.5910
# Volume, A^3/atom: 21.19
# Crystal system: tetragonal


[14]
# PBE CuGeTe3, optimized geometry
data_CuGeTe3
_chemical_formula_sum 'Cu4 Ge4 Te12'
_space_group_name_H-M_alt 'C m c 21'
_space_group_IT_number 36
_space_group_name_Hall 'C 2c -2'
_cell_length_a 4.0404
_cell_length_b 18.9528
_cell_length_c 7.1503
_cell_angle_alpha 90.00
_cell_angle_beta 90.00
_cell_angle_gamma 90.00
loop_
_atom_site_label
_atom_site_type_symbol
_atom_site_fract_x
_atom_site_fract_y
_atom_site_fract_z
Cu1 Cu 0.0000 0.1206 0.0000
Ge1 Ge 0.0000 0.3427 0.9569
Te1 Te 0.0000 0.0829 0.6618
Te2 Te 0.0000 0.2252 0.2188
Te3 Te 0.0000 0.4448 0.6594
# E_tot, eV for the cell shown: -71.5
# Formation energy (no corrections), eV per atom: 0.0541
# Volume, A^3/atom: 27.38
# Crystal system: orthorhombic


[15]
# PBE CdGaB, optimized geometry
data_CdGaB
_chemical_formula_sum 'Cd2 Ga2 B2'
_space_group_name_H-M_alt 'P 1'
_space_group_IT_number 1
_space_group_name_Hall 'P 1'
_cell_length_a 3.5139
_cell_length_b 5.2738
_cell_length_c 6.3005
_cell_angle_alpha 80.71
_cell_angle_beta 73.98
_cell_angle_gamma 70.67
loop_
_atom_site_label
_atom_site_type_symbol
_atom_site_fract_x
_atom_site_fract_y
_atom_site_fract_z
Cd1 Cd 0.0000 0.0000 0.0000
Cd2 Cd 0.1950 0.4200 0.1975
Ga1 Ga 0.3729 0.5016 0.7592
Ga2 Ga 0.7557 0.9644 0.5284
B1 B 0.1047 0.2156 0.5798
B2 B 0.9470 0.5441 0.5674
# Energy of formation from the pure elements, meV per atom: 328.3
# E_tot, eV for the cell shown: -19.3
# Volume, A^3/atom: 17.60
# Crystal system: triclinic


[16]
# PBE Cs2ErB2O6, optimized geometry
data_Cs2ErB2O6
_chemical_formula_sum 'Cs6 Er3 B6 O18'
_space_group_name_H-M_alt 'R -3 m'
_space_group_IT_number 166
_space_group_name_Hall '-R 3 2"'
_cell_length_a 5.6027
_cell_length_b 5.6027
_cell_length_c 21.2252
_cell_angle_alpha 90.00
_cell_angle_beta 90.00
_cell_angle_gamma 120.00
loop_
_atom_site_label
_atom_site_type_symbol
_atom_site_fract_x
_atom_site_fract_y
_atom_site_fract_z
Cs1 Cs 0.0000 0.0000 0.2144
Er1 Er 0.0000 0.0000 0.0000
B1 B 0.0000 0.0000 0.3931
O1 O 0.0484 0.5242 0.2726
# E_tot, eV for the cell shown: -228.7
# Formation energy (no corrections), eV per atom: -2.4420
# Volume, A^3/atom: 17.49
# Crystal system: trigonal


[17]
# PBE YURuRh, optimized geometry
data_YURuRh
_chemical_formula_sum 'Y4 U4 Ru4 Rh4'
_space_group_name_H-M_alt 'F -4 3 m'
_space_group_IT_number 216
_space_group_name_Hall 'F -4 2 3'
_cell_length_a 6.8221
_cell_length_b 6.8221
_cell_length_c 6.8221
_cell_angle_alpha 90.00
_cell_angle_beta 90.00
_cell_angle_gamma 90.00
loop_
_atom_site_label
_atom_site_type_symbol
_atom_site_fract_x
_atom_site_fract_y
_atom_site_fract_z
Y1 Y 0.0000 0.0000 0.0000
U1 U 0.0000 0.0000 0.5000
Ru1 Ru 0.2500 0.2500 0.2500
Rh1 Rh 0.2500 0.2500 0.7500
# Energy of formation from the pure elements, meV per atom: -364.6
# E_tot, eV for the cell shown: -143.4
# Volume, A^3/atom: 19.84
# Crystal system: cubic


[18]
# PBE Th4InSb, optimized geometry
data_Th4InSb
_chemical_formula_sum 'Th8 In2 Sb2'
_space_group_name_H-M_alt 'P 4/m c c'
_space_group_IT_number 124
_space_group_name_Hall '-P 4 2c'
_cell_length_a 7.6592
_cell_length_b 7.6592
_cell_length_c 6.3444
_cell_angle_alpha 90.00
_cell_angle_beta 90.00
_cell_angle_gamma 90.00
loop_
_atom_site_label
_atom_site_type_symbol
_atom_site_fract_x
_atom_site_fract_y
_atom_site_fract_z
Th1 Th 0.1545 0.3441 0.0000
In1 In 0.5000 0.5000 0.2500
Sb1 Sb 0.0000 0.0000 0.2500
# E_tot, eV for the cell shown: -77.7
# Formation energy (no corrections), eV per atom: -0.3871
# Volume, A^3/atom: 31.02
# Crystal system: tetragonal


[19]
# PBE CaLa2RuN4, optimized geometry
data_CaLa2RuN4
_chemical_formula_sum 'Ca4 La8 Ru4 N16'
_space_group_name_H-M_alt 'C m c m'
_space_group_IT_number 63
_space_group_name_Hall '-C 2c 2'
_cell_length_a 3.5580
_cell_length_b 12.6155
_cell_length_c 12.2009
_cell_angle_alpha 90.00
_cell_angle_beta 90.00
_cell_angle_gamma 90.00
loop_
_atom_site_label
_atom_site_type_symbol
_atom_site_fract_x
_atom_site_fract_y
_atom_site_fract_z
Ca1 Ca 0.0000 0.1397 0.2500
La1 La 0.0000 0.3694 0.0327
Ru1 Ru 0.0000 0.1508 0.7500
N1 N 0.0000 0.0000 0.0000
N2 N 0.0000 0.2624 0.6347
N3 N 0.0000 0.4136 0.2500
# E_tot, eV for the cell shown: -240.1
# Formation energy (no corrections), eV per atom: -0.6981
# Volume, A^3/atom: 17.11
# Crystal system: orthorhombic


[20]
# PBE CrIn2Re2, optimized geometry
data_CrIn2Re2
_chemical_formula_sum 'Cr2 In4 Re4'
_space_group_name_H-M_alt 'I 4/m m m'
_space_group_IT_number 139
_space_group_name_Hall '-I 4 2'
_cell_length_a 5.1502
_cell_length_b 5.1502
_cell_length_c 8.0415
_cell_angle_alpha 90.00
_cell_angle_beta 90.00
_cell_angle_gamma 90.00
loop_
_atom_site_label
_atom_site_type_symbol
_atom_site_fract_x
_atom_site_fract_y
_atom_site_fract_z
Cr1 Cr 0.0000 0.0000 0.0000
In1 In 0.0000 0.5000 0.2500
Re1 Re 0.0000 0.0000 0.3576
# Energy of formation from the pure elements, meV per atom: 1111.4
# E_tot, eV for the cell shown: -68.9
# Volume, A^3/atom: 21.33
# Crystal system: tetragonal